[1]
## ZnFeRe2S (PBE)

Data for a relaxed ZnFeRe2S crystal.

Computed properties:
Total magnetic moment, μB/cell: 2.59
E_form (uncorrected), eV per atom: 2.15
Excess energy over the best structure of this formula in the dataset, meV/atom: 0.0
Space-group type: P4/mmm, No. 123
Calculated density, Mg/m³: 9.63
Calculated volume, Å³ per atom: 18.130

a = 4.5904 Å, b = 4.3021 Å, c = 4.5904 Å
α = 90.00°, β = 90.00°, γ = 90.00°
Each line ends with the local moment (μB).
Fractional positions:
Zn 0.0000 0.0000 0.0000  -0.01
S 0.5000 0.5000 0.5000  0.05
Fe 0.0000 0.5000 0.0000  2.97
Re 0.5000 0.0000 0.0000  -0.14
Re 0.0000 0.0000 0.5000  -0.28

=====

[2]
## Ac4Nd4Er (PBE)

Data for a relaxed Ac4Nd4Er crystal.

Computed properties:
Total magnetic moment, μB/cell: 0.00
DFT formation energy, eV per atom: 0.042
Space-group type: I4/mmm, No. 139
Calculated density, Mg/m³: 7.85
Calculated volume, Å³ per atom: 38.811

a = 5.3759 Å, b = 8.4971 Å, c = 8.4971 Å
α = 84.26°, β = 71.56°, γ = 71.56°
Fractional positions:
Nd 0.0000 0.3372 0.6628
Nd 0.0000 0.6628 0.3372
Nd 0.6628 0.3372 0.3372
Nd 0.3372 0.6628 0.6628
Ac 0.6658 0.6684 0.0000
Ac 0.3342 0.3316 0.0000
Ac 0.3342 0.0000 0.3316
Ac 0.6658 0.0000 0.6684
Er 0.0000 0.0000 0.0000

=====

[3]
## Y2ZnCu2Pt5 (PBE)

Data for a relaxed Y2ZnCu2Pt5 crystal.

Computed properties:
Total magnetic moment, μB/cell: 0.00
DFT formation energy, eV per atom: -0.780
Space-group type: P4/mbm, No. 127
Calculated density, Mg/m³: 13.14
Calculated volume, Å³ per atom: 17.008

a = 3.8838 Å, b = 9.3587 Å, c = 9.3587 Å
α = 90.00°, β = 90.00°, γ = 90.00°
Fractional positions:
Cu 0.0000 0.3773 0.1227
Cu 0.0000 0.6227 0.8773
Cu 0.0000 0.1227 0.6227
Cu 0.0000 0.8773 0.3773
Pt 0.5000 0.2970 0.5687
Pt 0.5000 0.2030 0.0687
Pt 0.5000 0.0000 0.5000
Pt 0.5000 0.5687 0.7030
Pt 0.5000 0.5000 0.0000
Pt 0.5000 0.9313 0.2030
Pt 0.5000 0.4313 0.2970
Pt 0.5000 0.0687 0.7970
Pt 0.5000 0.7030 0.4313
Pt 0.5000 0.7970 0.9313
Y 0.0000 0.6754 0.1754
Y 0.0000 0.1754 0.3246
Y 0.0000 0.3246 0.8246
Y 0.0000 0.8246 0.6754
Zn 0.0000 0.0000 0.0000
Zn 0.0000 0.5000 0.5000

=====

[4]
## CeCuPtRh (PBE)

Data for a relaxed CeCuPtRh crystal.

Computed properties:
Total magnetic moment, μB/cell: 0.22
DFT formation energy, eV per atom: -0.681
Excess energy over the best structure of this formula in the dataset, meV/atom: 0.0
Space-group type: Pmmm, No. 47
Calculated density, Mg/m³: 12.18
Calculated volume, Å³ per atom: 17.101

a = 3.8794 Å, b = 4.0612 Å, c = 4.3418 Å
α = 90.00°, β = 90.00°, γ = 90.00°
Each line ends with the local moment (μB).
Fractional positions:
Ce 0.5000 0.0000 0.5000  -0.23
Cu 0.5000 0.5000 0.0000  0.00
Pt 0.0000 0.0000 0.0000  0.01
Rh 0.0000 0.5000 0.5000  0.03

=====

E_tot values, unit eV per atom, following the record order: -5.6009, -4.4102, -6.0397, -6.5367.